1.
## IrOsN2 (PBE-GGA)

Data for an optimized crystal structure of IrOsN2.

a = 5.6486 Å, b = 5.6486 Å, c = 5.6486 Å
α = 131.76°, β = 131.76°, γ = 70.61°
With the nearest neighbours (Å) after each atom.
Sites, in units of the cell vectors:
Ir (0.0000, 0.0000, 0.0000)  4 N 2.03
Ir (0.7500, 0.2500, 0.5000)  4 N 2.03
Os (0.2500, 0.7500, 0.5000)  4 N 1.97
Os (0.5000, 0.5000, 0.0000)  4 N 1.97
N (0.1373, 0.6250, 0.0123)  2 Os 1.97, 2 Ir 2.03
N (0.3750, 0.3873, 0.5123)  2 Os 1.97, 2 Ir 2.03
N (0.6127, 0.1250, 0.9877)  2 Os 1.97, 2 Ir 2.03
N (0.8750, 0.8627, 0.4877)  2 Os 1.97, 2 Ir 2.03

Values from the calculation:
For the calculated total energy, the calculation gives -68.352 eV/cell. Its energy above the most stable polymorph in this dataset is 0.132 eV/atom. The value obtained for the spin magnetization is 0.00 μB/cell. The energy relative to the elements, uncorrected is 641 meV/atom.

2.
## TiRh2WBr (PBE-GGA)

Data for an optimized crystal structure of TiRh2WBr.

a = 4.5664 Å, b = 4.5664 Å, c = 4.7362 Å
α = 90.00°, β = 90.00°, γ = 90.00°
With the nearest neighbours (Å) after each atom.
Sites, in units of the cell vectors:
Ti (0.0000, 0.0000, 0.0000)  4 Rh 2.28, 2 Br 2.37
Rh (0.0000, 0.5000, 0.0000)  2 Ti 2.28
Rh (0.5000, 0.0000, 0.0000)  2 Ti 2.28
W (0.5000, 0.5000, 0.5000)  4 Br 3.23, 8 Rh 3.29
Br (0.0000, 0.0000, 0.5000)  2 Ti 2.37

Values from the calculation:
For the calculated total energy, the calculation gives -31.181 eV/cell. The value obtained for the spin magnetization is 3.23 μB/cell. The energy relative to the elements, uncorrected is 1209 meV/atom.